1.
# GdYV2O8 (GGA-PBEsol, optimized geometry)
data_GdYV2O8
_chemical_formula_sum 'Gd2 Y2 V4 O16'
_cell_length_a 7.1493
_cell_length_b 7.1493
_cell_length_c 6.2716
_cell_angle_alpha 90.00
_cell_angle_beta 90.00
_cell_angle_gamma 90.00
_symmetry_space_group_name_H-M 'I -4 m 2'
_symmetry_Int_Tables_number 119
_symmetry_space_group_name_Hall 'I -4 -2'
loop_
_atom_site_label
_atom_site_type_symbol
_atom_site_fract_x
_atom_site_fract_y
_atom_site_fract_z
Gd1 Gd 0.0000 0.0000 0.0000
Y1 Y 0.0000 0.5000 0.2500
V1 V 0.0000 0.0000 0.5000
V2 V 0.0000 0.5000 0.7500
O1 O 0.0000 0.1854 0.3274
O2 O 0.0000 0.3171 0.9256
# * calculated density: 4.9 g/cm³
# * V: 320.6 Å³/cell
# * DOS(E_F): 0.00 states/eV per atom
# * E_form (uncorrected): -36.4 eV/f.u.
# * magnetic moment: 0.58 μB per atom
# * E: -237.906 eV for the cell shown

2.
# Cs (GGA-PBEsol, optimized geometry)
data_Cs
_chemical_formula_sum 'Cs58'
_cell_length_a 18.4925
_cell_length_b 18.4925
_cell_length_c 18.4925
_cell_angle_alpha 90.00
_cell_angle_beta 90.00
_cell_angle_gamma 90.00
_symmetry_space_group_name_H-M 'I -4 3 m'
_symmetry_Int_Tables_number 217
_symmetry_space_group_name_Hall 'I -4 2 3'
loop_
_atom_site_label
_atom_site_type_symbol
_atom_site_fract_x
_atom_site_fract_y
_atom_site_fract_z
Cs1 Cs 0.0000 0.0000 0.0000
Cs2 Cs 0.0444 0.3617 0.6383
Cs3 Cs 0.0926 0.0926 0.7175
Cs4 Cs 0.1809 0.1809 0.1809
# * calculated density: 2.0 g/cm³
# * V: 6323.9 Å³/cell
# * DOS(E_F): 1.27 states/eV per atom
# * energy of formation: 0.0 eV/f.u.
# * magnetic moment: 0.00 μB per atom
# * E: -53.945 eV for the cell shown

- What is the formula in the first record?
  GdYV2O8

- Which of these has the highest magnetic moment?
  GdYV2O8